Density functional theory data (PBE) for a relaxed MnNi2TeH crystal.

a = 3.861 Å, b = 3.861 Å, c = 3.959 Å
α = 90.00°, β = 90.00°, γ = 90.00°
Element x y z (fractional)
Mn (0.000, 0.000, 0.000)
Ni (0.000, 0.500, 0.500)
Ni (0.500, 0.000, 0.500)
Te (0.500, 0.500, 0.000)
H (0.000, 0.000, 0.500)

## Properties
electronic total energy = -5.407 eV per atom
magnetic moment = 3.9 μB/cell